Tb3Ho2Tm2: optimized geometry, GGA-PBE.

```
Tb3Ho2Tm2
1.0
3.4724 0.0000 0.0000
0.0000 8.3874 -0.7424
-1.7362 -3.5124 7.8762
Tb Tm Ho
3 2 2
Cartesian
1.7362 -0.3417 4.3869
0.0000 4.1937 -0.3712
0.0000 5.2166 2.7469
0.0000 1.6984 2.0664
1.7362 3.1766 5.0674
1.7362 7.1727 0.3538
0.0000 -2.2978 6.7800
```

Values from the calculation:
ΔE to the lowest computed polymorph (eV per atom): 0.0971
DFT total energy (eV per atom): -4.454
Magnetic moment (μB/atom): 0.000

BaCoTe2: optimized geometry, GGA-PBE.

```
BaCoTe2
1.0
-1.8058 3.5722 0.6189
-0.7967 0.2836 -3.9618
-7.0997 -3.7893 1.1565
Co Ba Te
1 1 2
Cartesian
-7.9017 -1.5950 -0.5963
-3.2061 -1.7112 0.5223
-3.0269 1.0069 -1.3904
-6.2170 -3.3182 1.0127
```

Values from the calculation:
DFT total energy (eV per atom): -4.132
Magnetic moment (μB/atom): 0.563
Formation energy (no corrections) (meV/atom): -304

LiPr5O8: optimized geometry, GGA-PBE.

```
LiPr5O8
1.0
6.4229 0.0303 -0.0520
-2.1448 6.0543 0.0520
-2.1334 -3.0463 5.2370
O Li Pr
8 1 5
Cartesian
3.4742 0.3650 1.8326
1.3127 2.9540 1.3818
1.4452 -0.3468 4.5963
4.4958 -1.5017 3.8096
-0.7896 4.5095 0.1179
0.2325 2.7235 4.5503
0.3508 0.3453 1.9962
-1.9426 3.1043 2.6633
-1.0667 0.7500 3.9407
2.1448 -1.5080 2.5925
3.1070 4.6503 1.3725
0.0503 -2.3239 5.0884
-0.9534 1.9778 0.7014
2.0856 1.7724 3.3117
```

Values from the calculation:
DFT total energy (eV per atom): -7.689
Magnetic moment (μB/atom): 0.000
Formation energy (no corrections) (meV/atom): -3012

SiPb3: optimized geometry, GGA-PBE.

```
SiPb3
1.0
6.1132 0.0000 0.0000
0.0000 6.1132 0.0000
0.0000 0.0000 6.1132
Si Pb
2 6
Cartesian
0.0000 0.0000 0.0000
3.0566 3.0566 3.0566
1.5283 3.0566 0.0000
4.5849 3.0566 0.0000
0.0000 1.5283 3.0566
0.0000 4.5849 3.0566
3.0566 0.0000 4.5849
3.0566 0.0000 1.5283
```

Values from the calculation:
ΔE to the lowest computed polymorph (eV per atom): 0.1168
DFT total energy (eV per atom): -3.750
Magnetic moment (μB/atom): 0.000
Formation energy (no corrections) (meV/atom): 387

Nd2Sm6Y: optimized geometry, GGA-PBE.

```
Nd2Sm6Y
1.0
3.5112 0.4933 0.2517
-0.9086 8.7754 -4.5223
2.8773 -0.0675 10.1576
Sm Nd Y
6 2 1
Cartesian
4.2345 6.2275 3.9794
1.2454 2.9736 1.9076
1.4544 3.1558 -1.3733
0.6389 8.8317 -1.1114
1.1482 6.1128 -2.8972
4.8410 0.3694 6.9984
2.7858 3.0436 5.3464
2.6941 6.1575 0.5406
0.0000 0.0000 0.0000
```

Values from the calculation:
ΔE to the lowest computed polymorph (eV per atom): 0.0000
DFT total energy (eV per atom): -4.871
Magnetic moment (μB/atom): 0.000

Ca8Sb5As: optimized geometry, GGA-PBE.

```
Ca8Sb5As
1.0
-5.2823 -4.1030 4.6669
3.9162 -5.1784 -4.9361
5.3687 3.8155 4.8100
Ca Sb As
8 5 1
Cartesian
4.8968 -3.7512 2.7023
2.9885 -1.2910 5.1003
5.0913 -2.3688 -0.5417
-1.0964 -3.0714 4.2366
-0.8421 -1.8881 7.5544
1.0218 -4.2005 0.2867
2.2753 -4.3250 -3.0127
1.6752 -0.9675 1.8379
-1.4696 -2.2038 1.1667
1.8241 -3.9494 3.3866
0.1258 -7.1515 1.0021
-3.1260 -5.5455 3.3833
0.0432 -0.1438 4.7385
4.6640 -0.7533 2.3062
```

Values from the calculation:
DFT total energy (eV per atom): -3.955
Magnetic moment (μB/atom): 0.000
Formation energy (no corrections) (meV/atom): -1006

SmCu2AsN: optimized geometry, GGA-PBE.

```
SmCu2AsN
1.0
3.6128 0.0000 0.0000
-1.8064 5.9851 0.0000
0.0000 0.0000 7.0338
Sm Cu N As
2 4 2 2
Cartesian
0.0000 5.6093 5.2753
1.8064 0.3758 1.7584
1.8064 4.0496 0.3942
1.8064 4.0496 3.1227
0.0000 1.9354 6.6396
0.0000 1.9354 3.9111
0.0000 0.0000 0.0000
0.0000 0.0000 3.5169
0.0000 3.1097 1.7584
1.8064 2.8754 5.2753
```

Values from the calculation:
DFT total energy (eV per atom): -5.741
Magnetic moment (μB/atom): 0.000
Formation energy (no corrections) (meV/atom): -563

CrAgTe2: optimized geometry, GGA-PBE.

```
CrAgTe2
1.0
-1.1535 0.7156 3.4570
-4.2414 -2.3793 -0.9227
2.0369 -4.2345 1.5562
Te Cr Ag
2 1 1
Cartesian
-1.1023 -3.3069 0.3167
0.0000 0.0000 0.0000
0.4417 -1.7595 2.5066
-2.6975 -0.8319 1.2671
```

Values from the calculation:
DFT total energy (eV per atom): -4.425
Magnetic moment (μB/atom): 0.912
Formation energy (no corrections) (meV/atom): 264

Question: What is the DFT total energy in the first record?
Answer: -4.454 eV per atom

Repeat the eighth record exactly.
CrAgTe2: optimized geometry, GGA-PBE.

```
CrAgTe2
1.0
-1.1535 0.7156 3.4570
-4.2414 -2.3793 -0.9227
2.0369 -4.2345 1.5562
Te Cr Ag
2 1 1
Cartesian
-1.1023 -3.3069 0.3167
0.0000 0.0000 0.0000
0.4417 -1.7595 2.5066
-2.6975 -0.8319 1.2671
```

Values from the calculation:
DFT total energy (eV per atom): -4.425
Magnetic moment (μB/atom): 0.912
Formation energy (no corrections) (meV/atom): 264